<i>
Compound: BiTeAs
Source: the Alexandria database
Functional: PBE
Structure: optimized geometry

Computed properties:
D(E_F) = 0.73 states/eV/cell
SG = C2/m (12)

```
data_BiTeAs
_chemical_formula_sum 'Bi2 Te2 As2'
_cell_length_a 5.9705
_cell_length_b 4.2685
_cell_length_c 10.8586
_cell_angle_alpha 89.44
_cell_angle_beta 90.00
_cell_angle_gamma 134.38
_space_group_name_H-M_alt 'P 1'
_space_group_IT_number 1
loop_
_space_group_symop_operation_xyz
'x,y,z'
loop_
_atom_site_label
_atom_site_fract_x
_atom_site_fract_y
_atom_site_fract_z
_atom_site_occupancy
As1 0.2992 0.5984 0.4868 1
As2 0.7008 0.4016 0.5132 1
Te1 0.7726 0.5452 0.1476 1
Te2 0.2274 0.4548 0.8524 1
Bi1 0.7015 0.4030 0.7743 1
Bi2 0.2985 0.5970 0.2257 1
```



<ii>
Compound: BiTeAs
Source: the Alexandria database
Functional: PBE
Structure: optimized geometry

Computed properties:
D(E_F) = 1.29 states/eV/cell
SG = P3m1 (156)

```
data_BiTeAs
_chemical_formula_sum 'Bi1 Te1 As1'
_cell_length_a 3.4267
_cell_length_b 5.1860
_cell_length_c 5.1860
_cell_angle_alpha 120.00
_cell_angle_beta 90.00
_cell_angle_gamma 90.00
_space_group_name_H-M_alt 'P 1'
_space_group_IT_number 1
loop_
_space_group_symop_operation_xyz
'x,y,z'
loop_
_atom_site_label
_atom_site_fract_x
_atom_site_fract_y
_atom_site_fract_z
_atom_site_occupancy
Te1 0.6312 0.3333 0.6667 1
As1 0.2922 0.6667 0.3333 1
Bi1 0.0766 0.0000 0.0000 1
```



Least stable = <ii>



<i>
Compound: ThBiAs2
Source: the Alexandria database
Functional: PBE
Structure: optimized geometry

Computed properties:
D(E_F) = 2.52 states/eV/cell
SG = R-3m (166)

```
data_ThBiAs2
_chemical_formula_sum 'Th1 Bi1 As2'
_cell_length_a 4.2757
_cell_length_b 4.2757
_cell_length_c 9.1381
_cell_angle_alpha 76.47
_cell_angle_beta 76.47
_cell_angle_gamma 60.00
_space_group_name_H-M_alt 'P 1'
_space_group_IT_number 1
loop_
_space_group_symop_operation_xyz
'x,y,z'
loop_
_atom_site_label
_atom_site_fract_x
_atom_site_fract_y
_atom_site_fract_z
_atom_site_occupancy
Th1 0.5000 0.5000 0.5000 1
As1 0.8943 0.8943 0.3171 1
As2 0.1057 0.1057 0.6829 1
Bi1 0.0000 0.0000 0.0000 1
```



<ii>
Compound: ThBiAs2
Source: the Alexandria database
Functional: PBE
Structure: optimized geometry

Computed properties:
D(E_F) = 2.20 states/eV/cell
SG = P4/mmm (123)

```
data_ThBiAs2
_chemical_formula_sum 'Th1 Bi1 As2'
_cell_length_a 3.9481
_cell_length_b 4.9745
_cell_length_c 4.9745
_cell_angle_alpha 90.00
_cell_angle_beta 90.00
_cell_angle_gamma 90.00
_space_group_name_H-M_alt 'P 1'
_space_group_IT_number 1
loop_
_space_group_symop_operation_xyz
'x,y,z'
loop_
_atom_site_label
_atom_site_fract_x
_atom_site_fract_y
_atom_site_fract_z
_atom_site_occupancy
As1 0.0000 0.0000 0.5000 1
As2 0.0000 0.5000 0.0000 1
Bi1 0.5000 0.0000 0.0000 1
Th1 0.5000 0.5000 0.5000 1
```



Least stable = <i>



<i>
Compound: TlBi2As2
Source: the Alexandria database
Functional: PBE
Structure: optimized geometry

Computed properties:
D(E_F) = 3.45 states/eV/cell
SG = I4/mmm (139)

```
data_TlBi2As2
_chemical_formula_sum 'Tl1 Bi2 As2'
_cell_length_a 5.6933
_cell_length_b 5.6933
_cell_length_c 6.0981
_cell_angle_alpha 62.17
_cell_angle_beta 62.17
_cell_angle_gamma 90.00
_space_group_name_H-M_alt 'P 1'
_space_group_IT_number 1
loop_
_space_group_symop_operation_xyz
'x,y,z'
loop_
_atom_site_label
_atom_site_fract_x
_atom_site_fract_y
_atom_site_fract_z
_atom_site_occupancy
Bi1 0.7500 0.2500 0.5000 1
Bi2 0.2500 0.7500 0.5000 1
As1 0.3614 0.3614 0.2773 1
As2 0.6386 0.6386 0.7227 1
Tl1 0.0000 0.0000 0.0000 1
```



<ii>
Compound: TlBi2As2
Source: the Alexandria database
Functional: PBE
Structure: optimized geometry

Computed properties:
D(E_F) = 1.41 states/eV/cell
SG = I4/mmm (139)

```
data_TlBi2As2
_chemical_formula_sum 'Tl1 Bi2 As2'
_cell_length_a 5.4537
_cell_length_b 5.4537
_cell_length_c 6.6395
_cell_angle_alpha 65.75
_cell_angle_beta 65.75
_cell_angle_gamma 90.00
_space_group_name_H-M_alt 'P 1'
_space_group_IT_number 1
loop_
_space_group_symop_operation_xyz
'x,y,z'
loop_
_atom_site_label
_atom_site_fract_x
_atom_site_fract_y
_atom_site_fract_z
_atom_site_occupancy
As1 0.2500 0.7500 0.5000 1
As2 0.7500 0.2500 0.5000 1
Bi1 0.6511 0.6511 0.6979 1
Bi2 0.3489 0.3489 0.3021 1
Tl1 0.0000 0.0000 0.0000 1
```



<iii>
Compound: TlBi2As2
Source: the Alexandria database
Functional: PBE
Structure: optimized geometry

Computed properties:
D(E_F) = 4.10 states/eV/cell
SG = P4/mbm (127)

```
data_TlBi2As2
_chemical_formula_sum 'Tl2 Bi4 As4'
_cell_length_a 8.3320
_cell_length_b 8.3320
_cell_length_c 3.9503
_cell_angle_alpha 90.00
_cell_angle_beta 90.00
_cell_angle_gamma 90.00
_space_group_name_H-M_alt 'P 1'
_space_group_IT_number 1
loop_
_space_group_symop_operation_xyz
'x,y,z'
loop_
_atom_site_label
_atom_site_fract_x
_atom_site_fract_y
_atom_site_fract_z
_atom_site_occupancy
As1 0.3512 0.8512 0.0000 1
As2 0.8512 0.6488 0.0000 1
As3 0.6488 0.1488 0.0000 1
As4 0.1488 0.3512 0.0000 1
Bi1 0.1472 0.6472 0.5000 1
Bi2 0.3528 0.1472 0.5000 1
Bi3 0.6472 0.8528 0.5000 1
Bi4 0.8528 0.3528 0.5000 1
Tl1 0.5000 0.5000 0.0000 1
Tl2 0.0000 0.0000 0.0000 1
```



Least stable = <iii>



<i>
Compound: Tl2BiAs
Source: the Alexandria database
Functional: PBE
Structure: optimized geometry

Computed properties:
D(E_F) = 2.38 states/eV/cell
SG = I-42d (122)

```
data_Tl2BiAs
_chemical_formula_sum 'Tl4 Bi2 As2'
_cell_length_a 6.7016
_cell_length_b 6.7016
_cell_length_c 8.1327
_cell_angle_alpha 65.67
_cell_angle_beta 65.67
_cell_angle_gamma 90.00
_space_group_name_H-M_alt 'P 1'
_space_group_IT_number 1
loop_
_space_group_symop_operation_xyz
'x,y,z'
loop_
_atom_site_label
_atom_site_fract_x
_atom_site_fract_y
_atom_site_fract_z
_atom_site_occupancy
Bi1 0.7500 0.2500 0.5000 1
Bi2 0.0000 0.0000 0.0000 1
Tl1 0.8750 0.8441 0.7500 1
Tl2 0.5941 0.1250 0.2500 1
Tl3 0.1559 0.6250 0.2500 1
Tl4 0.3750 0.4059 0.7500 1
As1 0.5000 0.5000 0.0000 1
As2 0.2500 0.7500 0.5000 1
```



<ii>
Compound: Tl2BiAs
Source: the Alexandria database
Functional: PBE
Structure: optimized geometry

Computed properties:
D(E_F) = 2.53 states/eV/cell
SG = R-3m (166)

```
data_Tl2BiAs
_chemical_formula_sum 'Tl2 Bi1 As1'
_cell_length_a 4.1826
_cell_length_b 4.1826
_cell_length_c 8.1525
_cell_angle_alpha 75.14
_cell_angle_beta 75.14
_cell_angle_gamma 60.00
_space_group_name_H-M_alt 'P 1'
_space_group_IT_number 1
loop_
_space_group_symop_operation_xyz
'x,y,z'
loop_
_atom_site_label
_atom_site_fract_x
_atom_site_fract_y
_atom_site_fract_z
_atom_site_occupancy
Tl1 0.7370 0.7370 0.7891 1
Tl2 0.2630 0.2630 0.2109 1
Bi1 0.5000 0.5000 0.5000 1
As1 0.0000 0.0000 0.0000 1
```



Least stable = <ii>



<i>
Compound: Tl2BiAs
Source: the Alexandria database
Functional: PBE
Structure: optimized geometry

Computed properties:
D(E_F) = 3.15 states/eV/cell
SG = P2_1/m (11)

```
data_Tl2BiAs
_chemical_formula_sum 'Tl4 Bi2 As2'
_cell_length_a 3.9834
_cell_length_b 6.8886
_cell_length_c 9.4798
_cell_angle_alpha 90.00
_cell_angle_beta 90.00
_cell_angle_gamma 107.29
_space_group_name_H-M_alt 'P 1'
_space_group_IT_number 1
loop_
_space_group_symop_operation_xyz
'x,y,z'
loop_
_atom_site_label
_atom_site_fract_x
_atom_site_fract_y
_atom_site_fract_z
_atom_site_occupancy
Tl1 0.3734 0.7442 0.0562 1
Tl2 0.6266 0.2558 0.9438 1
Tl3 0.6266 0.2558 0.5562 1
Tl4 0.3734 0.7442 0.4438 1
Bi1 0.0730 0.1520 0.2500 1
Bi2 0.9270 0.8480 0.7500 1
As1 0.2696 0.5426 0.7500 1
As2 0.7304 0.4574 0.2500 1
```



<ii>
Compound: Tl2BiAs
Source: the Alexandria database
Functional: PBE
Structure: optimized geometry

Computed properties:
D(E_F) = 3.10 states/eV/cell
SG = Fm-3m (225)

```
data_Tl2BiAs
_chemical_formula_sum 'Tl2 Bi1 As1'
_cell_length_a 5.4330
_cell_length_b 5.4330
_cell_length_c 5.4330
_cell_angle_alpha 60.00
_cell_angle_beta 60.00
_cell_angle_gamma 60.00
_space_group_name_H-M_alt 'P 1'
_space_group_IT_number 1
loop_
_space_group_symop_operation_xyz
'x,y,z'
loop_
_atom_site_label
_atom_site_fract_x
_atom_site_fract_y
_atom_site_fract_z
_atom_site_occupancy
Bi1 0.5000 0.5000 0.5000 1
Tl1 0.7500 0.7500 0.7500 1
Tl2 0.2500 0.2500 0.2500 1
As1 0.0000 0.0000 0.0000 1
```



Least stable = <ii>